Entry from Alexandria via LeMat-Bulk: a relaxed CaZr2PSe crystal (PBE).

abc: 4.9829 4.9829 5.2816
angles: 90.00 90.00 90.00
Fractional positions:
Ca 0.0000 0.0000 0.0000
Zr 0.0000 0.5000 0.5000
Zr 0.5000 0.0000 0.5000
P 0.5000 0.5000 0.0000
Se 0.0000 0.0000 0.5000

Properties
Total moment (μB per formula unit): 0.00
SG: P4/mmm (123)
E_form (uncorrected) (kJ/mol of formula units): 15
Electronic total energy (eV/atom): -5.5665